Entry 1:
# PBE-GGA RbNa2MgHg, optimized geometry
data_RbNa2MgHg
_chemical_formula_sum 'Rb1 Na2 Mg1 Hg1'
_cell_length_a 6.050
_cell_length_b 6.050
_cell_length_c 5.430
_cell_angle_alpha 90.00
_cell_angle_beta 90.00
_cell_angle_gamma 90.00
_space_group_name_H-M_alt 'P 4/m m m'
_space_group_IT_number 123
_space_group_name_Hall '-P 4 2'
loop_
_atom_site_label
_atom_site_type_symbol
_atom_site_fract_x
_atom_site_fract_y
_atom_site_fract_z
Rb1 Rb 0.000 0.000 0.000
Na1 Na 0.000 0.500 0.500
Mg1 Mg 0.500 0.500 0.000
Hg1 Hg 0.500 0.500 0.500
# ΔE to the lowest computed polymorph = 0 meV per atom

***

Entry 2:
# PBE-GGA Pm2SmHo, optimized geometry
data_Pm2SmHo
_chemical_formula_sum 'Pm6 Sm3 Ho3'
_cell_length_a 3.6147
_cell_length_b 3.6147
_cell_length_c 35.2939
_cell_angle_alpha 90.00
_cell_angle_beta 90.00
_cell_angle_gamma 120.00
_space_group_name_H-M_alt 'R -3 m'
_space_group_IT_number 166
_space_group_name_Hall '-R 3 2"'
loop_
_atom_site_label
_atom_site_type_symbol
_atom_site_fract_x
_atom_site_fract_y
_atom_site_fract_z
Pm1 Pm 0.0000 0.0000 0.2490
Sm1 Sm 0.0000 0.0000 0.0000
Ho1 Ho 0.0000 0.0000 0.5000
# ΔE to the lowest computed polymorph = 0 meV per atom

***

Entry 3:
DFT (PBE-GGA) results for an optimized crystal structure of Dy5HoAg6.

```
data_Dy5HoAg6
_chemical_formula_sum 'Dy5 Ho1 Ag6'
_cell_length_a 5.159
_cell_length_b 7.205
_cell_length_c 8.157
_cell_angle_alpha 90.00
_cell_angle_beta 108.33
_cell_angle_gamma 90.00
_space_group_name_H-M_alt 'P 1 2/m 1'
_space_group_IT_number 10
loop_
_space_group_symop_operation_xyz
'x,y,z'
'-x,-y,-z'
'-x,y,-z'
'x,-y,z'
loop_
_atom_site_label
_atom_site_type_symbol
_atom_site_fract_x
_atom_site_fract_y
_atom_site_fract_z
Dy1 Dy 0.000 0.000 0.000
Dy2 Dy 0.333 0.000 0.667
Dy3 Dy 0.333 0.500 0.667
Ho1 Ho 0.000 0.500 0.000
Ag1 Ag 0.166 0.250 0.333
Ag2 Ag 0.500 0.251 0.000
```

***

| no. | DFT formation energy (eV/atom) | raw total energy (eV per cell) |
| --- | --- | --- |
| 1 | -0.024 | -5.6 |
| 2 | 0.014 | -56.2 |
| 3 | -0.325 | -48.6 |